[1]
4
Lattice="-1.760 0.215 -4.064 2.140 -1.757 -3.463 -3.234 -6.805 -1.350" Properties=species:S:1:pos:R:3 comment="CdSbTe2 | Alexandria | PBE | relaxed" spacegroup="No. 12" formation_energy_uncorrected_mev_per_atom=-142 magmom_total_mub_per_fu=0.00 pbc="T T T"
Sb -2.140 -6.260 -6.658
Te -0.004 -0.009 -0.004
Te -1.423 -4.165 -4.435
Cd -0.713 -2.087 -2.219

=====

[2]
4
Lattice="-0.848 3.277 -0.635 -2.459 0.728 -2.300 -9.357 0.881 7.703" Properties=species:S:1:pos:R:3 comment="LaCe2Th | Alexandria | PBE | relaxed" spacegroup="No. 166" formation_enthalpy_0k_ev_per_atom=0.1622 magmom_total_mub_per_fu=0.85 pbc="T T T"
Ce -7.162 1.001 5.395
Ce -5.502 3.884 -0.627
Th -6.332 2.443 2.384
La 0.000 0.000 0.000

=====

[3]
3
Lattice="-3.231 3.232 -0.330 -1.195 -4.378 0.634 0.162 0.655 4.829" Properties=species:S:1:pos:R:3 comment="BaAlAu | Alexandria | PBE | relaxed" spacegroup="No. 187" formation_enthalpy_0k_ev_per_atom=-0.5252 magmom_total_mub_per_fu=0.00 pbc="T T T"
Au -2.525 0.805 0.796
Ba -1.766 -1.404 3.532
Al 0.027 0.109 0.805

=====

[4]
19
Lattice="6.299 -0.026 -0.031 -0.981 6.223 -0.031 -0.981 -1.143 6.117" Properties=species:S:1:pos:R:3 comment="Pu6PN12 | Alexandria | PBE | relaxed" spacegroup="No. 148" formation_energy_uncorrected_mev_per_atom=-763 magmom_total_mub_per_fu=17.00 pbc="T T T"
Pu 3.247 4.911 2.428
Pu 3.336 1.615 0.789
Pu -0.024 3.372 1.730
Pu 1.091 0.143 3.626
Pu 1.002 3.439 5.266
Pu 4.362 1.682 4.324
P 0.000 0.000 0.000
N 4.261 3.030 2.404
N 1.157 4.489 3.411
N 2.349 1.531 5.026
N 0.077 2.024 3.650
N 3.181 0.565 2.643
N 1.989 3.523 1.029
N -0.847 5.654 1.738
N -1.380 3.348 5.724
N 3.518 5.785 0.181
N 5.185 -0.600 4.317
N 5.717 1.706 0.330
N 0.820 -0.731 5.874

=====

[5]
4
Lattice="6.707 0.040 -0.008 3.542 5.696 0.008 -4.378 -4.202 2.857" Properties=species:S:1:pos:R:3 comment="ZrTl2Br | Alexandria | PBE | relaxed" spacegroup="No. 44" formation_energy_uncorrected_mev_per_atom=-202 magmom_total_mub_per_fu=0.00 pbc="T T T"
Tl 0.082 0.046 0.000
Tl 3.364 -0.850 1.425
Br 2.635 2.455 1.432
Zr 4.916 2.751 0.000

=====

[6]
4
Lattice="5.547 0.000 0.000 2.774 4.804 0.000 2.774 1.601 4.529" Properties=species:S:1:pos:R:3 comment="PrThBiTe | Alexandria | PBE | relaxed" spacegroup="No. 216" formation_energy_uncorrected_mev_per_atom=-915 magmom_total_mub_per_fu=0.18 pbc="T T T"
Pr 2.774 1.601 1.132
Te 0.000 0.000 0.000
Bi 5.547 3.203 2.265
Th 8.321 4.804 3.397